# 1
Entry from OQMD via LeMat-Bulk: crystalline Co5W7 at its relaxed geometry (GGA-PBE).

ΔE_f = 0.54 eV/atom
E above lowest polymorph = 0.288 eV/atom
Magnetic moment = 0.449 μB/atom
Total DFT energy (no corrections) = -119.8 eV per formula unit

The structure in POSCAR format:
```
Co5W7
1.0
5.003 0.000 0.000
-2.501 4.332 0.000
0.000 0.000 16.308
Co W
10 14
Direct
0.000 0.500 0.000
0.000 0.500 0.500
0.333 0.667 0.155
0.333 0.667 0.345
0.500 0.000 0.000
0.500 0.000 0.500
0.500 0.500 0.000
0.500 0.500 0.500
0.667 0.333 0.655
0.667 0.333 0.845
0.000 0.000 0.088
0.000 0.000 0.412
0.000 0.000 0.588
0.000 0.000 0.912
0.164 0.327 0.750
0.164 0.836 0.750
0.327 0.164 0.250
0.333 0.667 0.615
0.333 0.667 0.885
0.667 0.333 0.115
0.667 0.333 0.385
0.673 0.836 0.750
0.836 0.164 0.250
0.836 0.673 0.250
```

---

# 2
Entry from OQMD via LeMat-Bulk: crystalline Co8W7 at its relaxed geometry (GGA-PBE).

ΔE_f = 0.19 eV/atom
E above lowest polymorph = 0.035 eV/atom
Magnetic moment = 0.493 μB/atom
Total DFT energy (no corrections) = -144.7 eV per formula unit

The structure in POSCAR format:
```
Co8W7
1.0
8.991 0.000 0.000
0.000 8.991 0.000
0.000 0.000 4.953
Co W
16 14
Direct
0.033 0.368 0.000
0.061 0.269 0.500
0.132 0.533 0.500
0.231 0.561 0.000
0.269 0.061 0.500
0.368 0.033 0.000
0.439 0.769 0.000
0.467 0.868 0.500
0.533 0.132 0.500
0.561 0.231 0.000
0.632 0.967 0.000
0.731 0.939 0.500
0.769 0.439 0.000
0.868 0.467 0.500
0.939 0.731 0.500
0.967 0.632 0.000
0.000 0.000 0.500
0.104 0.104 0.000
0.192 0.808 0.249
0.192 0.808 0.751
0.308 0.308 0.251
0.308 0.308 0.749
0.396 0.604 0.500
0.500 0.500 0.000
0.604 0.396 0.500
0.692 0.692 0.251
0.692 0.692 0.749
0.808 0.192 0.249
0.808 0.192 0.751
0.896 0.896 0.000
```

---

# 3
Entry from OQMD via LeMat-Bulk: crystalline Co7W5 at its relaxed geometry (GGA-PBE).

ΔE_f = 0.58 eV/atom
E above lowest polymorph = 0.208 eV/atom
Magnetic moment = 0.631 μB/atom
Total DFT energy (no corrections) = -107.5 eV per formula unit

The structure in POSCAR format:
```
Co7W5
1.0
4.995 0.000 0.000
-2.497 4.325 0.000
0.000 0.000 15.729
Co W
14 10
Direct
0.000 0.000 0.087
0.000 0.000 0.413
0.000 0.000 0.587
0.000 0.000 0.913
0.150 0.300 0.250
0.150 0.850 0.250
0.300 0.150 0.750
0.333 0.667 0.661
0.333 0.667 0.839
0.667 0.333 0.161
0.667 0.333 0.339
0.700 0.850 0.250
0.850 0.150 0.750
0.850 0.700 0.750
0.000 0.500 0.000
0.000 0.500 0.500
0.333 0.667 0.140
0.333 0.667 0.360
0.500 0.000 0.000
0.500 0.000 0.500
0.500 0.500 0.000
0.500 0.500 0.500
0.667 0.333 0.640
0.667 0.333 0.860
```

---

# 4
Entry from OQMD via LeMat-Bulk: crystalline Co7W5 at its relaxed geometry (GGA-PBE).

ΔE_f = 0.69 eV/atom
E above lowest polymorph = 0.317 eV/atom
Magnetic moment = 0.799 μB/atom
Total DFT energy (no corrections) = -106.2 eV per formula unit

The structure in POSCAR format:
```
Co7W5
1.0
4.989 0.000 0.000
-2.495 4.321 0.000
0.000 0.000 16.108
Co W
14 10
Direct
0.000 0.000 0.089
0.000 0.000 0.411
0.000 0.000 0.589
0.000 0.000 0.911
0.000 0.500 0.000
0.000 0.500 0.500
0.333 0.667 0.150
0.333 0.667 0.350
0.500 0.000 0.000
0.500 0.000 0.500
0.500 0.500 0.000
0.500 0.500 0.500
0.667 0.333 0.650
0.667 0.333 0.850
0.165 0.329 0.750
0.165 0.835 0.750
0.329 0.165 0.250
0.333 0.667 0.615
0.333 0.667 0.885
0.667 0.333 0.115
0.667 0.333 0.385
0.671 0.835 0.750
0.835 0.165 0.250
0.835 0.671 0.250
```